Entry from Alexandria: an optimized crystal structure of LiCo3O6 (PBE with a Hubbard U).

Results
Symmetry: No. 9
V in Å³ per atom: 10.34
Offset from the most stable computed form in meV per atom: 0

a = 4.8785 Å, b = 4.8785 Å, c = 10.4446 Å
α = 75.93°, β = 75.93°, γ = 60.09°
Last column: magnetic moment on the atom in μB.
Positions (direct):
Li: 0.5907 0.4129 0.2467  0.00
Li: 0.4129 0.5907 0.7467  0.00
Co: 0.3310 0.4986 0.0043  -0.05
Co: 0.4986 0.3310 0.5043  -0.05
Co: 0.0020 0.1668 0.9964  1.15
Co: 0.1668 0.0020 0.4964  1.15
Co: 0.6674 0.8359 0.9965  1.15
Co: 0.8359 0.6674 0.4965  1.15
O: 0.9523 0.4666 0.0967  -0.06
O: 0.2057 0.3671 0.4018  -0.04
O: 0.8025 0.3056 0.5965  -0.05
O: 0.3671 0.2057 0.9018  -0.04
O: 0.6412 0.1310 0.0965  -0.05
O: 0.8624 0.0388 0.4020  -0.04
O: 0.4666 0.9523 0.5967  -0.06
O: 0.0388 0.8624 0.9020  -0.04
O: 0.3056 0.8025 0.0965  -0.05
O: 0.1310 0.6412 0.5965  -0.05
O: 0.5340 0.6953 0.4025  -0.06
O: 0.6953 0.5340 0.9025  -0.06